BeAlAsOs, optimized geometry, DFT PBE; theoretical density = 9.20 g/cm3; excess energy over the best structure of this formula in the dataset = 0.017 eV/atom; M_tot = 0.0 μB/f.u.; crystal system = cubic
1.0
0.0000 3.0066 3.0066
3.0066 0.0000 3.0066
3.0066 3.0066 0.0000
Be Al As Os
1 1 1 1
direct
0.0000 0.0000 0.0000
0.7500 0.7500 0.7500
0.5000 0.5000 0.5000
0.2500 0.2500 0.2500

=====

NdBiN2O, optimized geometry, DFT PBE; theoretical density = 8.82 g/cm3; M_tot = 0.0 μB/f.u.; crystal system = orthorhombic
1.0
5.9528 0.0000 0.0000
0.0000 4.0675 0.0000
0.0000 0.0000 6.1757
Nd Bi N O
2 2 4 2
direct
0.2500 0.0000 0.2121
0.7500 0.0000 0.7879
0.2500 0.5000 0.7347
0.7500 0.5000 0.2653
0.0000 0.5000 0.5000
0.2500 0.0000 0.8308
0.5000 0.5000 0.5000
0.7500 0.0000 0.1692
0.0000 0.5000 0.0000
0.5000 0.5000 0.0000

=====

Er2ZnNiIr, optimized geometry, DFT PBE; theoretical density = 11.44 g/cm3; energy of formation = -682 meV per atom; M_tot = 0.0 μB/f.u.; crystal system = orthorhombic
1.0
-2.0868 4.0853 2.7702
2.0868 -4.0853 2.7702
2.0868 4.0853 -2.7702
Er Zn Ni Ir
2 1 1 1
direct
0.2019 0.0000 0.2019
0.7981 0.0000 0.7981
0.5057 0.5057 0.0000
0.7554 0.2554 0.5000
0.2173 0.7173 0.5000

=====

Ta2BMo, optimized geometry, DFT PBE; theoretical density = 13.10 g/cm3; M_tot = 0.0 μB/f.u.; crystal system = cubic
1.0
0.0000 3.0967 3.0967
3.0967 0.0000 3.0967
3.0967 3.0967 0.0000
Ta B Mo
2 1 1
direct
0.0000 0.0000 0.0000
0.2500 0.2500 0.2500
0.5000 0.5000 0.5000
0.7500 0.7500 0.7500

=====

HoEr2Cu4Pb4, optimized geometry, DFT PBE; theoretical density = 10.93 g/cm3; M_tot = 0.0 μB/f.u.; crystal system = orthorhombic
1.0
-2.2700 3.5427 7.4759
2.2700 -3.5427 7.4759
2.2700 3.5427 -7.4759
Ho Er Cu Pb
1 2 4 4
direct
0.0000 0.0000 0.0000
0.3689 0.8689 0.5000
0.6311 0.1311 0.5000
0.0173 0.3285 0.6889
0.3604 0.6715 0.6889
0.6396 0.3285 0.3111
0.9827 0.6715 0.3111
0.2162 0.2162 0.0000
0.2913 0.5000 0.7913
0.7087 0.5000 0.2087
0.7838 0.7838 0.0000

=====

GaCuS2, optimized geometry, DFT PBE; theoretical density = 4.31 g/cm3; crystal system = monoclinic
1.0
5.9356 -2.6813 0.0000
5.9356 2.6813 0.0000
-2.4136 0.0000 4.7778
Ga Cu S
2 2 4
direct
0.1254 0.1254 0.3743
0.8746 0.8746 0.6257
0.3760 0.3757 0.1274
0.6243 0.6240 0.8726
0.0011 0.4991 0.7520
0.2498 0.7502 0.5000
0.5009 0.9989 0.2480
0.7485 0.2515 0.0000

=====

no.,E (eV/atom)
1,-5.55
2,-6.37
3,-5.64
4,-9.78
5,-4.18
6,-4.33